(1)
Sm3ScS6 (PBE, optimized geometry); ΔE_f (raw) = -2.022 eV/atom
1.0
8.0377 -0.0222 -0.1962
-0.2005 8.0352 -0.1962
-0.0217 -0.0222 8.0401
Sm S Sc
6 12 2
Direct
0.7499 0.4290 0.9217 Sm
0.0783 0.2501 0.5710 Sm
0.4290 0.9217 0.7499 Sm
0.2501 0.5710 0.0783 Sm
0.9217 0.7499 0.4290 Sm
0.5710 0.0783 0.2501 Sm
0.9197 0.0782 0.3041 S
0.5848 0.8059 0.4572 S
0.1941 0.5428 0.4152 S
0.4152 0.1941 0.5428 S
0.5428 0.4152 0.1941 S
0.3041 0.9197 0.0782 S
0.4572 0.5848 0.8059 S
0.0782 0.3041 0.9197 S
0.6959 0.0803 0.9218 S
0.9218 0.6959 0.0803 S
0.0803 0.9218 0.6959 S
0.8059 0.4572 0.5848 S
0.5000 0.5000 0.5000 Sc
0.0000 0.0000 0.0000 Sc

=====

(2)
PRuAuS2 (PBE, optimized geometry); ΔE_f (raw) = 1.530 eV/atom
1.0
-3.0578 -3.1742 -1.8535
-1.4601 -1.1637 4.4017
-3.2729 3.2804 -0.2185
S Au P Ru
2 1 1 1
Direct
0.5000 0.0000 0.0000 S
0.0000 0.5000 0.0000 S
0.0000 0.0000 0.0000 Au
0.0000 0.0000 0.5000 P
0.5000 0.5000 0.5000 Ru

=====

Raw total energy / eV per atom: -6.55, -3.71
Magnetization / μB/cell: 0.000, 0.000